LiNiW2: optimized geometry, PBE.

volume = 215.4 Å³/cell
space-group type = Fm-3m
E_tot = -7.78 eV per atom
polymorph energy (0 for the lowest one) = 1.66 eV per formula unit
ΔE_f = 59.9 kJ/mol of atoms

Cell lengths 5.995, 5.995, 5.995 Å; angles 90.00, 90.00, 90.00 degrees
Fractional coordinates of all 16 atoms:
Li (0.000, 0.000, 0.000)
Li (0.000, 0.500, 0.500)
Li (0.500, 0.000, 0.500)
Li (0.500, 0.500, 0.000)
Ni (0.000, 0.000, 0.500)
Ni (0.000, 0.500, 0.000)
Ni (0.500, 0.000, 0.000)
Ni (0.500, 0.500, 0.500)
W (0.250, 0.250, 0.250)
W (0.250, 0.250, 0.750)
W (0.250, 0.750, 0.250)
W (0.250, 0.750, 0.750)
W (0.750, 0.250, 0.250)
W (0.750, 0.250, 0.750)
W (0.750, 0.750, 0.250)
W (0.750, 0.750, 0.750)